Li2VP2O8: single point on PBEsol structure, meta-GGA SCAN.

## Properties
Formation energy from raw total energies (eV/atom): -2.557

a = 4.977 Å, b = 7.731 Å, c = 8.487 Å
α = 90.00°, β = 118.63°, γ = 90.00°
Fractional positions:
Li 0.016 0.129 0.105
Li 0.016 0.371 0.605
Li 0.984 0.629 0.395
Li 0.984 0.871 0.895
V 0.000 0.000 0.500
V 0.000 0.500 0.000
P 0.348 0.690 0.791
P 0.348 0.810 0.291
P 0.652 0.190 0.709
P 0.652 0.310 0.209
O 0.203 0.627 0.237
O 0.203 0.873 0.737
O 0.229 0.622 0.923
O 0.229 0.878 0.423
O 0.244 0.570 0.635
O 0.244 0.930 0.135
O 0.299 0.195 0.594
O 0.299 0.305 0.094
O 0.701 0.695 0.906
O 0.701 0.805 0.406
O 0.756 0.070 0.865
O 0.756 0.430 0.365
O 0.771 0.122 0.577
O 0.771 0.378 0.077
O 0.797 0.127 0.263
O 0.797 0.373 0.763